La4CI6N (PBE, relaxed); ΔE_f (raw) = -1466 meV/atom; total energy = -5.346 eV/atom
1.0
9.818 0.000 0.000
0.000 14.370 0.000
0.000 0.000 14.370
La C I N
16 4 24 4
direct
0.000 0.590 0.410
0.000 0.410 0.590
0.500 0.910 0.910
0.500 0.090 0.090
0.000 0.152 0.152
0.000 0.848 0.848
0.500 0.652 0.348
0.500 0.348 0.652
0.305 0.411 0.411
0.695 0.589 0.589
0.305 0.589 0.589
0.805 0.911 0.089
0.195 0.911 0.089
0.695 0.411 0.411
0.195 0.089 0.911
0.805 0.089 0.911
0.000 0.035 0.035
0.000 0.965 0.965
0.500 0.535 0.465
0.500 0.465 0.535
0.000 0.780 0.220
0.000 0.220 0.780
0.500 0.720 0.720
0.500 0.280 0.280
0.000 0.330 0.330
0.000 0.670 0.670
0.500 0.830 0.170
0.500 0.170 0.830
0.251 0.261 0.051
0.749 0.739 0.949
0.251 0.739 0.949
0.751 0.551 0.239
0.249 0.761 0.449
0.749 0.261 0.051
0.249 0.449 0.761
0.751 0.239 0.551
0.751 0.449 0.761
0.249 0.239 0.551
0.249 0.551 0.239
0.751 0.761 0.449
0.749 0.051 0.261
0.251 0.949 0.739
0.749 0.949 0.739
0.251 0.051 0.261
0.349 0.000 0.000
0.651 0.000 0.000
0.849 0.500 0.500
0.151 0.500 0.500